Entry 1:
VASP calculation (GGA-PBE) on an optimized crystal structure of TaCoRh2.

The electronic total energy comes out at -34.66 eV for the cell shown. For the energy relative to the elements, the calculation gives -0.249 eV/atom.

It has space group Pmm2 (No. 25), with a = 2.817 Å, b = 3.700 Å, c = 5.507 Å, α = 90.00°, β = 90.00° and γ = 90.00°. The asymmetric unit holds Ta at (0.000, 0.000, 0.000), Co at (0.500, 0.500, 0.260), Rh at (0.000, 0.000, 0.466) and Rh at (0.500, 0.500, 0.746).



Entry 2:
VASP calculation (GGA-PBE) on an optimized crystal structure of LaAgN2Cl.

The electronic total energy comes out at -22.60 eV for the cell shown. The raw formation energy comes out at 3.680 eV/f.u.

It has space group P4/mmm (No. 123), with a = 4.171 Å, b = 4.171 Å, c = 5.805 Å, α = 90.00°, β = 90.00° and γ = 90.00°. The asymmetric unit holds La at (0.000, 0.000, 0.000), Ag at (0.000, 0.000, 0.500), N at (0.000, 0.500, 0.500) and Cl at (0.500, 0.500, 0.000).



Entry 3:
VASP calculation (GGA-PBE) on an optimized crystal structure of Ce3Tl2Rh.

The electronic total energy comes out at -62.91 eV for the cell shown. For the energy relative to the elements, the calculation gives -0.262 eV/atom.

It has space group Immm (No. 71), with a = 3.787 Å, b = 6.047 Å, c = 15.437 Å, α = 90.00°, β = 90.00° and γ = 90.00°. The asymmetric unit holds Ce at (0.000, 0.000, 0.000), Ce at (0.000, 0.000, 0.372), Tl at (0.000, 0.500, 0.304) and Rh at (0.000, 0.500, 0.000).



Entry 4:
VASP calculation (GGA-PBE) on an optimized crystal structure of LaTbDy2Er5.

The electronic total energy comes out at -156.16 eV for the cell shown. For the energy relative to the elements, the calculation gives 0.282 eV/atom.

It has space group I4/mcm (No. 140), with a = 8.886 Å, b = 8.886 Å, c = 14.773 Å, α = 90.00°, β = 90.00° and γ = 90.00°. The asymmetric unit holds La at (0.000, 0.000, 0.250), Tb at (0.000, 0.500, 0.250), Dy at (0.113, 0.387, 0.000), Er at (0.000, 0.000, 0.000) and Er at (0.205, 0.295, 0.369).



Entry 5:
VASP calculation (GGA-PBE) on an optimized crystal structure of AcGaAu3.

The electronic total energy comes out at -20.13 eV for the cell shown. For the energy relative to the elements, the calculation gives -0.632 eV/atom. The calculation puts the energy above the most stable polymorph in this dataset at 0 meV/atom.

It has space group P1 (No. 1), with a = 4.825 Å, b = 4.829 Å, c = 6.013 Å, α = 66.56°, β = 66.59° and γ = 89.64°. The asymmetric unit holds Ac at (0.000, 0.000, 0.000), Ga at (0.334, 0.331, 0.292), Au at (0.274, 0.738, 0.482), Au at (0.620, 0.622, 0.792) and Au at (0.740, 0.275, 0.483).



Entry 6:
VASP calculation (GGA-PBE) on an optimized crystal structure of CsMgZnS2.

The electronic total energy comes out at -64.62 eV for the cell shown. The raw formation energy comes out at -4.178 eV/f.u.

It has space group Cmme (No. 67), with a = 6.085 Å, b = 14.539 Å, c = 6.723 Å, α = 90.00°, β = 90.00° and γ = 90.00°. The asymmetric unit holds Cs at (0.000, 0.250, 0.246), Mg at (0.250, 0.000, 0.000), Zn at (0.000, 0.000, 0.500) and S at (0.000, 0.098, 0.803).



Entry 7:
VASP calculation (GGA-PBE) on an optimized crystal structure of ZnNiAg.

The electronic total energy comes out at -36.59 eV for the cell shown. For the energy relative to the elements, the calculation gives 0.253 eV/atom. The calculation puts the energy above the most stable polymorph in this dataset at 277 meV/atom.

It has space group F-43m (No. 216), with a = 5.854 Å, b = 5.854 Å, c = 5.854 Å, α = 90.00°, β = 90.00° and γ = 90.00°. The asymmetric unit holds Zn at (0.000, 0.000, 0.000), Ni at (0.250, 0.250, 0.250) and Ag at (0.000, 0.000, 0.500).



Entry 8:
VASP calculation (GGA-PBE) on an optimized crystal structure of NaLi2RuO4.

The electronic total energy comes out at -90.97 eV for the cell shown. The raw formation energy comes out at -11.229 eV/f.u.

It has space group I-42m (No. 121), with a = 5.164 Å, b = 5.164 Å, c = 7.439 Å, α = 90.00°, β = 90.00° and γ = 90.00°. The asymmetric unit holds Na at (0.000, 0.000, 0.000), Li at (0.000, 0.500, 0.250), Ru at (0.000, 0.000, 0.500) and O at (0.210, 0.210, 0.640).



Entry 9:
VASP calculation (GGA-PBE) on an optimized crystal structure of BaBe2NiAg.

The electronic total energy comes out at -6.54 eV for the cell shown. For the energy relative to the elements, the calculation gives 2.294 eV/atom.

It has space group P4/mmm (No. 123), with a = 5.428 Å, b = 5.428 Å, c = 5.755 Å, α = 90.00°, β = 90.00° and γ = 90.00°. The asymmetric unit holds Ba at (0.000, 0.000, 0.000), Be at (0.000, 0.500, 0.000), Ni at (0.500, 0.500, 0.500) and Ag at (0.000, 0.000, 0.500).



Entry 10:
VASP calculation (GGA-PBE) on an optimized crystal structure of K2AlFe.

The electronic total energy comes out at -10.67 eV for the cell shown. For the energy relative to the elements, the calculation gives 0.933 eV/atom.

It has space group P2/m (No. 10), with a = 3.247 Å, b = 5.817 Å, c = 6.012 Å, α = 90.00°, β = 105.67° and γ = 90.00°. The asymmetric unit holds K at (0.046, 0.000, 0.256), Al at (0.500, 0.500, 0.000) and Fe at (0.500, 0.500, 0.500).



Entry 11:
VASP calculation (GGA-PBE) on an optimized crystal structure of SmCdCo.

The electronic total energy comes out at -26.52 eV for the cell shown. For the energy relative to the elements, the calculation gives -0.173 eV/atom.

It has space group P2_1/m (No. 11), with a = 3.935 Å, b = 4.046 Å, c = 8.573 Å, α = 90.00°, β = 90.00° and γ = 90.00°. The asymmetric unit holds Sm at (0.000, 0.250, 0.185), Cd at (0.499, 0.250, 0.615) and Co at (0.500, 0.250, 0.936).



Entry 12:
VASP calculation (GGA-PBE) on an optimized crystal structure of NdMgNiHg.

The electronic total energy comes out at -53.55 eV for the cell shown. For the energy relative to the elements, the calculation gives -0.235 eV/atom.

It has space group F-43m (No. 216), with a = 7.022 Å, b = 7.022 Å, c = 7.022 Å, α = 90.00°, β = 90.00° and γ = 90.00°. The asymmetric unit holds Nd at (0.000, 0.000, 0.000), Mg at (0.000, 0.000, 0.500), Ni at (0.250, 0.250, 0.250) and Hg at (0.250, 0.250, 0.750).